VASP calculation (PBE) on an optimized crystal structure of TaCrRe2.

Properties
- mass density (g cm⁻³) = 16.38
- formation enthalpy at 0 K (eV per atom) = 0.18
- VASP energy (eV for the cell shown) = -45.66
- space-group type = No. 119
- volume (Å³ per cell) = 61
- Fermi-level density of states (states/eV/cell) = 4.59

Unit cell a=5.0061 b=5.0061 c=5.0061 alpha=135.21 beta=135.21 gamma=65.20
With the nearest neighbours (Å) after each atom.
Positions (direct):
Cr 0.7500 0.2500 0.5000  8 Re 2.70-2.84, 4 Ta 2.84
Re 0.0000 0.0000 0.0000  4 Ta 2.70, 4 Cr 2.84, 4 Re 2.84
Re 0.2500 0.7500 0.5000  4 Cr 2.70, 4 Ta 2.84, 4 Re 2.84
Ta 0.5000 0.5000 0.0000  8 Re 2.70-2.84, 4 Cr 2.84